Below is an optimized crystal structure of ZrSc3Ni8, with properties calculated at the PBE-GGA level.

## Properties
As for the size of the total moment: 0.000 μB per atom. As for the uncorrected energy: -79.800 eV/f.u. The space group is R3m (160). For the formation energy, the calculation gives -48 kJ per mole of atoms.

Unit cell a=4.896 b=4.896 c=8.493 alpha=73.25 beta=73.25 gamma=60.00
Positions (direct):
Zr  0.876  0.876  0.371
Sc  0.374  0.374  0.879
Sc  0.002  0.002  0.994
Sc  0.498  0.498  0.506
Ni  0.935  0.438  0.188
Ni  0.438  0.938  0.686
Ni  0.438  0.438  0.188
Ni  0.938  0.938  0.686
Ni  0.187  0.187  0.438
Ni  0.688  0.688  0.937
Ni  0.438  0.935  0.188
Ni  0.938  0.438  0.686